Arrangement P

Computed, not measured: a geometry-optimized Sr2SeO structure at the PBE level of DFT.

Geometry as POSCAR:
```
Sr2SeO
1.0
-2.232 2.367 -3.366
-4.113 -1.399 1.744
-0.246 7.509 5.443
Sr Se O
4 2 2
direct
0.750 0.750 0.842
0.750 0.250 0.500
0.250 0.250 0.158
0.250 0.750 0.500
0.250 0.250 0.813
0.750 0.750 0.187
0.250 0.250 0.413
0.750 0.750 0.587
```

=====

Arrangement Q

Computed, not measured: a geometry-optimized Sr2SeO structure at the PBE level of DFT.

Geometry as POSCAR:
```
Sr2SeO
1.0
0.000 3.557 3.557
3.557 0.000 3.557
3.557 3.557 0.000
Sr O Se
2 1 1
direct
0.250 0.250 0.250
0.750 0.750 0.750
0.000 0.000 0.000
0.500 0.500 0.500
```

=====

Arrangement R

Computed, not measured: a geometry-optimized Sr2SeO structure at the PBE level of DFT.

Geometry as POSCAR:
```
Sr2SeO
1.0
-2.320 0.282 -3.290
1.172 -1.735 -3.451
-3.582 -6.162 -0.478
Sr O Se
2 1 1
direct
0.237 0.237 0.289
0.763 0.763 0.711
0.500 0.500 0.500
0.000 0.000 0.000
```

=====

Of them, the most stable is arrangement P and the least stable is arrangement Q.

=====

Arrangement P

Computed, not measured: a geometry-optimized SrZnSe2O6 structure at the PBE level of DFT.

Geometry as POSCAR:
```
SrZnSe2O6
1.0
-6.644 1.715 -13.757
3.310 -2.525 -1.913
-2.428 -9.847 -0.055
Sr Zn Se O
4 4 8 24
direct
0.117 0.285 0.454
0.383 0.285 0.954
0.883 0.715 0.546
0.617 0.715 0.046
0.852 0.498 0.228
0.648 0.498 0.728
0.352 0.502 0.272
0.148 0.502 0.772
0.303 0.638 0.558
0.004 0.982 0.777
0.803 0.362 0.942
0.197 0.638 0.058
0.996 0.018 0.223
0.496 0.982 0.277
0.504 0.018 0.723
0.697 0.362 0.442
0.807 0.274 0.425
0.180 0.353 0.217
0.980 0.394 0.223
0.786 0.575 0.053
0.307 0.726 0.075
0.536 0.169 0.109
0.820 0.647 0.783
0.036 0.831 0.391
0.464 0.831 0.891
0.386 0.092 0.249
0.020 0.606 0.777
0.714 0.575 0.553
0.964 0.169 0.609
0.693 0.274 0.925
0.193 0.726 0.575
0.480 0.606 0.277
0.520 0.394 0.723
0.214 0.425 0.947
0.114 0.092 0.749
0.614 0.908 0.751
0.320 0.353 0.717
0.886 0.908 0.251
0.286 0.425 0.447
0.680 0.647 0.283
```

=====

Arrangement Q

Computed, not measured: a geometry-optimized SrZnSe2O6 structure at the PBE level of DFT.

Geometry as POSCAR:
```
SrZnSe2O6
1.0
-1.564 4.546 2.592
-1.172 -0.163 5.332
4.546 2.634 3.877
Sr Zn Se O
1 1 2 6
direct
0.000 0.000 0.000
0.500 0.500 0.500
0.725 0.725 0.824
0.275 0.275 0.176
0.073 0.480 0.714
0.733 0.073 0.714
0.520 0.267 0.286
0.927 0.520 0.286
0.267 0.927 0.286
0.480 0.733 0.714
```

=====

Of them, the most stable is arrangement P and the least stable is arrangement Q.

=====

Arrangement P

Computed, not measured: a geometry-optimized Ta2SeO structure at the PBE level of DFT.

Geometry as POSCAR:
```
Ta2SeO
1.0
0.168 -0.714 4.272
-3.650 -0.729 2.221
-0.828 -3.954 1.571
O Se Ta
1 1 2
direct
0.000 0.000 0.000
0.500 0.500 0.500
0.250 0.250 0.250
0.750 0.750 0.750
```

=====

Arrangement Q

Computed, not measured: a geometry-optimized Ta2SeO structure at the PBE level of DFT.

Geometry as POSCAR:
```
Ta2SeO
1.0
4.689 0.000 0.000
0.000 4.689 0.000
2.345 2.345 6.506
O Se Ta
2 2 4
direct
0.500 0.500 0.000
0.250 0.750 0.500
0.000 0.000 0.000
0.750 0.250 0.500
0.530 0.125 0.250
0.220 0.625 0.250
0.375 0.470 0.750
0.875 0.780 0.750
```

=====

Of them, the most stable is arrangement Q and the least stable is arrangement P.

=====

Arrangement P

Computed, not measured: a geometry-optimized Tb3Se2O2 structure at the PBE level of DFT.

Geometry as POSCAR:
```
Tb3Se2O2
1.0
-0.202 -1.420 -3.304
-1.966 -4.195 3.877
-6.084 3.313 -1.049
Tb Se O
3 2 2
direct
0.000 0.000 0.000
0.769 0.539 0.227
0.231 0.461 0.773
0.884 0.769 0.625
0.116 0.231 0.375
0.636 0.273 0.936
0.364 0.727 0.064
```

=====

Arrangement Q

Computed, not measured: a geometry-optimized Tb3Se2O2 structure at the PBE level of DFT.

Geometry as POSCAR:
```
Tb3Se2O2
1.0
3.748 0.000 0.831
1.650 7.458 1.425
-0.252 0.285 10.004
Tb Se O
6 4 4
direct
0.092 0.984 0.831
0.908 0.016 0.169
0.131 0.517 0.222
0.869 0.483 0.778
0.403 0.738 0.457
0.597 0.262 0.543
0.257 0.136 0.349
0.743 0.864 0.651
0.394 0.243 0.968
0.606 0.757 0.032
0.044 0.237 0.674
0.956 0.763 0.326
0.422 0.512 0.644
0.578 0.488 0.356
```

=====

Of them, the most stable is arrangement Q and the least stable is arrangement P.

=====

Arrangement P

Computed, not measured: a geometry-optimized Tb4Se3O2 structure at the PBE level of DFT.

Geometry as POSCAR:
```
Tb4Se3O2
1.0
-1.783 2.296 -2.108
-4.570 -2.651 4.037
2.666 6.346 4.655
Tb Se O
4 3 2
direct
0.672 0.344 0.106
0.081 0.162 0.689
0.919 0.838 0.311
0.328 0.656 0.894
0.394 0.788 0.584
0.000 0.000 0.000
0.606 0.212 0.416
0.298 0.597 0.167
0.702 0.403 0.833
```

=====

Arrangement Q

Computed, not measured: a geometry-optimized Tb4Se3O2 structure at the PBE level of DFT.

Geometry as POSCAR:
```
Tb4Se3O2
1.0
3.778 0.000 0.942
1.450 6.146 2.232
0.037 -0.426 7.896
Tb Se O
4 3 2
direct
0.316 0.261 0.106
0.684 0.739 0.894
0.111 0.180 0.599
0.889 0.820 0.401
0.386 0.508 0.720
0.000 0.000 0.000
0.614 0.492 0.280
0.311 0.007 0.370
0.689 0.993 0.630
```

=====

Of them, the most stable is arrangement Q and the least stable is arrangement P.

=====

Arrangement P

Computed, not measured: a geometry-optimized Tb2Se2O structure at the PBE level of DFT.

Geometry as POSCAR:
```
Tb2Se2O
1.0
-1.909 -5.151 1.722
1.164 -5.162 -4.527
5.869 -4.730 1.982
Tb Se O
4 4 2
direct
0.192 0.232 0.384
0.808 0.768 0.616
0.468 0.244 0.821
0.532 0.756 0.179
0.677 0.245 0.402
0.323 0.755 0.598
0.044 0.695 0.217
0.956 0.305 0.783
0.376 0.113 0.136
0.624 0.887 0.864
```

=====

Arrangement Q

Computed, not measured: a geometry-optimized Tb2Se2O structure at the PBE level of DFT.

Geometry as POSCAR:
```
Tb2Se2O
1.0
0.434 1.259 5.603
6.496 -1.101 2.705
4.522 5.317 1.415
Tb Se O
4 4 2
direct
0.100 0.606 0.195
0.900 0.394 0.805
0.400 0.805 0.394
0.600 0.195 0.606
0.356 0.287 0.002
0.644 0.713 0.998
0.144 0.998 0.713
0.856 0.002 0.287
0.250 0.500 0.500
0.750 0.500 0.500
```

=====

Of them, the most stable is arrangement Q and the least stable is arrangement P.

=====

Arrangement P

Computed, not measured: a geometry-optimized Tc2SeO structure at the PBE level of DFT.

Geometry as POSCAR:
```
Tc2SeO
1.0
4.256 0.000 0.000
0.000 4.256 0.000
2.128 2.128 6.783
O Tc Se
2 4 2
direct
0.500 0.500 0.000
0.250 0.750 0.500
0.532 0.125 0.250
0.218 0.625 0.250
0.375 0.468 0.750
0.875 0.782 0.750
0.000 0.000 0.000
0.750 0.250 0.500
```

=====

Arrangement Q

Computed, not measured: a geometry-optimized Tc2SeO structure at the PBE level of DFT.

Geometry as POSCAR:
```
Tc2SeO
1.0
0.000 2.945 2.945
2.945 0.000 2.945
2.945 2.945 0.000
O Tc Se
1 2 1
direct
0.000 0.000 0.000
0.250 0.250 0.250
0.750 0.750 0.750
0.500 0.500 0.500
```

=====

Of them, the most stable is arrangement P and the least stable is arrangement Q.

=====

Arrangement P

Computed, not measured: a geometry-optimized TeSeO4 structure at the PBE level of DFT.

Geometry as POSCAR:
```
TeSeO4
1.0
6.923 0.000 0.000
0.000 4.219 0.000
0.000 0.000 6.844
Te Se O
2 2 8
direct
0.979 0.267 0.000
0.479 0.733 0.500
0.479 0.043 0.000
0.979 0.957 0.500
0.293 0.315 0.000
0.664 0.315 0.000
0.479 0.049 0.697
0.979 0.951 0.803
0.164 0.685 0.500
0.793 0.685 0.500
0.979 0.951 0.197
0.479 0.049 0.303
```

=====

Arrangement Q

Computed, not measured: a geometry-optimized TeSeO4 structure at the PBE level of DFT.

Geometry as POSCAR:
```
TeSeO4
1.0
-0.924 1.003 4.280
5.337 -3.786 2.039
1.632 6.592 -3.550
Te Se O
2 2 8
direct
0.131 0.891 0.783
0.848 0.109 0.217
0.620 0.626 0.251
0.869 0.375 0.749
0.799 0.952 0.903
0.147 0.204 0.782
0.685 0.756 0.513
0.865 0.422 0.218
0.396 0.048 0.097
0.866 0.797 0.219
0.672 0.244 0.488
0.147 0.578 0.781
```

=====

Of them, the most stable is arrangement Q and the least stable is arrangement P.

=====

Arrangement P

Computed, not measured: a geometry-optimized TeSeO structure at the PBE level of DFT.

Geometry as POSCAR:
```
TeSeO
1.0
4.529 0.000 0.000
0.000 3.708 0.000
-1.731 0.000 8.540
Te Se O
2 2 2
direct
0.951 0.250 0.161
0.049 0.750 0.839
0.725 0.250 0.664
0.275 0.750 0.336
0.216 0.250 0.009
0.784 0.750 0.991
```

=====

Arrangement Q

Computed, not measured: a geometry-optimized TeSeO structure at the PBE level of DFT.

Geometry as POSCAR:
```
TeSeO
1.0
-0.047 -1.241 -3.852
3.055 -2.547 0.747
-6.860 -3.535 3.624
O Se Te
2 2 2
direct
0.354 0.129 0.853
0.129 0.354 0.353
0.041 0.683 0.001
0.683 0.041 0.501
0.780 0.260 0.143
0.260 0.780 0.643
```

=====

Arrangement R

Computed, not measured: a geometry-optimized TeSeO structure at the PBE level of DFT.

Geometry as POSCAR:
```
TeSeO
1.0
-2.015 -4.156 3.489
0.164 -2.492 -2.874
6.304 -1.051 1.271
Te Se O
2 2 2
direct
0.495 0.000 0.137
0.495 0.500 0.637
0.804 0.000 0.771
0.804 0.500 0.271
0.332 0.000 0.379
0.332 0.500 0.879
```

=====

Of them, the most stable is arrangement P and the least stable is arrangement Q.

=====

Arrangement P

Computed, not measured: a geometry-optimized TeSeO structure at the PBE level of DFT.

Geometry as POSCAR:
```
TeSeO
1.0
-3.034 3.355 -0.410
-1.997 -4.921 -0.719
0.519 0.743 7.111
Te Se O
2 2 2
direct
0.819 0.022 0.706
0.501 0.488 0.024
0.211 0.232 0.287
0.280 0.712 0.380
0.491 0.128 0.818
0.750 0.710 0.799
```

=====

Arrangement Q

Computed, not measured: a geometry-optimized TeSeO structure at the PBE level of DFT.

Geometry as POSCAR:
```
TeSeO
1.0
3.812 0.000 0.000
0.000 4.644 0.000
-3.362 0.000 15.643
Te Se O
4 4 4
direct
0.741 0.629 0.406
0.259 0.629 0.594
0.741 0.129 0.906
0.259 0.129 0.094
0.760 0.818 0.177
0.240 0.818 0.823
0.760 0.318 0.677
0.240 0.318 0.323
0.500 0.788 0.500
0.500 0.288 0.000
0.000 0.871 0.000
0.000 0.371 0.500
```

=====

Arrangement R

Computed, not measured: a geometry-optimized TeSeO structure at the PBE level of DFT.

Geometry as POSCAR:
```
TeSeO
1.0
-2.406 -2.780 -0.823
2.676 -4.305 6.718
-3.091 1.942 2.475
Te Se O
2 2 2
direct
0.000 0.846 0.271
0.500 0.154 0.771
0.000 0.338 0.011
0.500 0.662 0.511
0.000 0.988 0.614
0.500 0.012 0.114
```

=====

Of them, the most stable is arrangement R and the least stable is arrangement P.